Material: MnV5Ge4
Method: DFT, GGA-PBE
State: relaxed

Properties
Crystal system: orthorhombic
Space group: Pmmn
Total magnetic moment in μB/cell: 2.43

a = 4.620 Å, b = 8.662 Å, c = 7.470 Å
α = 90.00°, β = 90.00°, γ = 90.00°
Last column: magnetic moment on the atom in μB.
Positions (direct):
Ge 0.247 0.800 0.000  0.00
V 0.256 0.740 0.335  -0.17
V 0.256 0.260 0.335  -0.17
V 0.744 0.240 0.165  -0.17
Mn 0.646 0.000 0.000  1.60
V 0.533 0.500 0.000  0.29
V 0.744 0.760 0.835  -0.17
V 0.256 0.740 0.665  -0.17
Ge 0.977 0.000 0.690  0.00
Ge 0.977 0.000 0.310  0.00
Ge 0.753 0.300 0.500  0.00
Ge 0.753 0.700 0.500  0.00
Ge 0.247 0.200 0.000  0.00
V 0.256 0.260 0.665  -0.17
Ge 0.023 0.500 0.190  0.00
Ge 0.023 0.500 0.810  0.00
V 0.744 0.240 0.835  -0.17
V 0.467 0.000 0.500  0.29
Mn 0.354 0.500 0.500  1.60
V 0.744 0.760 0.165  -0.17

=====

Material: MnV5Ge5
Method: DFT, GGA-PBE
State: relaxed

Properties
Crystal system: monoclinic
Space group: C2/m
Total magnetic moment in μB/cell: 1.75

a = 4.755 Å, b = 6.104 Å, c = 6.628 Å
α = 106.42°, β = 90.00°, γ = 112.92°
Last column: magnetic moment on the atom in μB.
Positions (direct):
Ge 0.174 0.348 0.302  -0.02
Ge 0.500 0.000 0.000  -0.05
V 0.355 0.710 0.622  0.00
Ge 0.807 0.614 0.112  -0.03
V 0.600 0.199 0.709  0.15
V 0.400 0.801 0.291  0.15
Ge 0.826 0.652 0.698  -0.02
Ge 0.193 0.386 0.888  -0.03
V 0.000 0.000 0.500  -0.43
Mn 0.000 0.000 0.000  2.04
V 0.645 0.290 0.378  0.00

=====

Material: MnV2Ge4
Method: DFT, GGA-PBE
State: relaxed

Properties
Crystal system: tetragonal
Space group: I4/mmm
Total magnetic moment in μB/cell: 0.77

a = 4.592 Å, b = 4.592 Å, c = 6.898 Å
α = 70.56°, β = 70.56°, γ = 90.00°
Last column: magnetic moment on the atom in μB.
Positions (direct):
V 0.594 0.594 0.811  -0.30
Ge 0.804 0.804 0.392  -0.03
Mn 0.000 0.000 0.000  1.54
V 0.406 0.406 0.189  -0.30
Ge 0.196 0.196 0.608  -0.03
Ge 0.000 0.500 0.000  -0.02
Ge 0.500 0.000 0.000  -0.02

=====

Material: Mn2VGe
Method: DFT, GGA-PBE
State: relaxed

Properties
Crystal system: tetragonal
Space group: P4/mmm
Total magnetic moment in μB/cell: 0.99

a = 2.985 Å, b = 4.013 Å, c = 4.013 Å
α = 90.00°, β = 90.00°, γ = 90.00°
Last column: magnetic moment on the atom in μB.
Positions (direct):
Mn 0.000 0.500 0.000  0.74
Mn 0.000 0.000 0.500  0.74
Ge 0.500 0.000 0.000  -0.03
V 0.500 0.500 0.500  -0.43

=====

Material: MnVGe3
Method: DFT, GGA-PBE
State: relaxed

Properties
Crystal system: cubic
Space group: Pm-3m
Total magnetic moment in μB/cell: 5.75

a = 4.748 Å, b = 4.748 Å, c = 4.748 Å
α = 90.00°, β = 90.00°, γ = 90.00°
Last column: magnetic moment on the atom in μB.
Positions (direct):
Ge 0.500 0.000 0.000  -0.01
Ge 0.000 0.500 0.000  -0.01
V 0.000 0.000 0.000  0.85
Ge 0.000 0.000 0.500  -0.01
Mn 0.500 0.500 0.500  4.41

=====

Material: MnVGe
Method: DFT, GGA-PBE
State: relaxed

Properties
Crystal system: hexagonal
Space group: P-62m
Total magnetic moment in μB/cell: 1.82

a = 6.705 Å, b = 6.705 Å, c = 5.965 Å
α = 90.00°, β = 90.00°, γ = 120.00°
Last column: magnetic moment on the atom in μB.
Positions (direct):
Ge 0.667 0.333 0.500  -0.01
Ge 0.667 0.333 0.000  -0.01
Mn 0.723 0.723 0.000  0.53
V 0.000 0.612 0.750  -0.20
Ge 0.000 0.000 0.750  -0.03
Ge 0.333 0.667 0.000  -0.01
V 0.388 0.389 0.750  -0.20
V 0.612 0.000 0.250  -0.20
V 0.611 0.000 0.750  -0.20
Mn 0.000 0.277 0.000  0.53
V 0.000 0.611 0.250  -0.20
Mn 0.000 0.277 0.500  0.53
Ge 0.000 0.000 0.250  -0.03
Mn 0.277 0.000 0.000  0.53
Mn 0.277 0.000 0.500  0.53
Mn 0.723 0.723 0.500  0.53
V 0.389 0.388 0.250  -0.20
Ge 0.333 0.667 0.500  -0.01

=====

Material: Mn3VGe
Method: DFT, GGA-PBE
State: relaxed

Properties
Crystal system: cubic
Space group: Pm-3m
Total magnetic moment in μB/cell: 6.60

a = 4.504 Å, b = 4.504 Å, c = 4.504 Å
α = 90.00°, β = 90.00°, γ = 90.00°
Last column: magnetic moment on the atom in μB.
Positions (direct):
Mn 0.500 0.000 0.000  3.29
V 0.500 0.500 0.500  -2.72
Ge 0.000 0.000 0.000  -0.17
Mn 0.000 0.500 0.000  3.29
Mn 0.000 0.000 0.500  3.29

=====

Material: Mn2V8Ge
Method: DFT, GGA-PBE
State: relaxed

Properties
Crystal system: monoclinic
Space group: C2/m
Total magnetic moment in μB/cell: 0.00

a = 4.698 Å, b = 6.974 Å, c = 6.974 Å
α = 40.40°, β = 83.46°, γ = 83.46°
Positions (direct):
V 0.614 0.156 0.654
V 0.614 0.654 0.156
V 0.386 0.346 0.844
Ge 0.000 0.000 0.000
V 0.118 0.782 0.782
V 0.891 0.588 0.588
V 0.386 0.844 0.346
Mn 0.635 0.741 0.741
V 0.109 0.412 0.412
V 0.882 0.218 0.218
Mn 0.365 0.259 0.259

=====

Material: MnV3Ge2
Method: DFT, GGA-PBE
State: relaxed

Properties
Crystal system: orthorhombic
Space group: Cmmm
Total magnetic moment in μB/cell: 3.32

a = 3.330 Å, b = 7.928 Å, c = 7.463 Å
α = 122.09°, β = 102.89°, γ = 90.00°
Last column: magnetic moment on the atom in μB.
Positions (direct):
Ge 0.348 0.848 0.696  -0.02
V 0.831 0.581 0.662  0.22
Mn 0.000 0.000 0.000  1.57
V 0.500 0.250 0.000  -0.34
V 0.169 0.919 0.338  0.22
Mn 0.000 0.500 0.000  1.57
V 0.500 0.750 0.000  -0.34
V 0.169 0.419 0.338  0.22
Ge 0.652 0.152 0.304  -0.02
Ge 0.348 0.348 0.696  -0.02
V 0.831 0.081 0.662  0.22
Ge 0.652 0.652 0.304  -0.02

=====

Material: MnV5Ge6
Method: DFT, GGA-PBE
State: relaxed

Properties
Crystal system: monoclinic
Space group: C2/m
Total magnetic moment in μB/cell: 1.13

a = 5.106 Å, b = 8.498 Å, c = 5.920 Å
α = 44.13°, β = 80.90°, γ = 77.26°
Last column: magnetic moment on the atom in μB.
Positions (direct):
V 0.000 0.665 0.670  -0.43
Ge 0.752 0.081 0.334  -0.01
V 0.500 0.166 0.669  -0.14
Ge 0.254 0.249 0.000  -0.01
V 0.500 0.500 0.000  -0.16
V 0.000 0.335 0.330  -0.43
Ge 0.746 0.751 0.000  -0.01
Ge 0.752 0.416 0.666  -0.01
Mn 0.000 0.000 0.000  2.55
Ge 0.248 0.919 0.666  -0.01
V 0.500 0.834 0.331  -0.14
Ge 0.248 0.584 0.334  -0.01

=====

Material: MnVGe2
Method: DFT, GGA-PBE
State: relaxed

Properties
Crystal system: monoclinic
Space group: C2/m
Total magnetic moment in μB/cell: 2.36

a = 2.847 Å, b = 3.064 Å, c = 8.318 Å
α = 111.60°, β = 78.56°, γ = 122.58°
Last column: magnetic moment on the atom in μB.
Positions (direct):
Mn 0.023 0.253 0.052  2.40
Ge 0.323 0.145 0.294  -0.06
V 0.023 0.753 0.552  0.07
Ge 0.724 0.361 0.809  -0.06

=====

Material: MnV6Ge
Method: DFT, GGA-PBE
State: relaxed

Properties
Crystal system: cubic
Space group: Pm-3
Total magnetic moment in μB/cell: 0.00

a = 6.661 Å, b = 6.662 Å, c = 4.709 Å
α = 44.97°, β = 44.96°, γ = 59.95°
Positions (direct):
Ge 0.500 0.500 0.500
Mn 0.000 0.000 0.000
V 0.001 0.501 0.741
V 0.758 0.000 0.742
V 0.242 0.000 0.258
V 0.999 0.499 0.259
V 0.500 0.242 0.258
V 0.500 0.758 0.742

=====

no.,energy of formation (meV per atom),E (eV for the cell shown)
1,13.0,-146.20
2,150.7,-76.19
3,401.6,-43.06
4,-206.3,-32.90
5,528.1,-29.50
6,-190.3,-140.86
7,851.5,-36.99
8,13.4,-95.76
9,-197.8,-93.89
10,15.2,-82.28
11,-83.5,-27.86
12,-234.7,-70.38